1.
Crystalline Er3AlSe6 at its relaxed geometry. Source: the Alexandria database, functional PBE.

## Properties
Crystal system = orthorhombic
Energy relative to the elements, uncorrected = -1.598 eV/atom

a = 6.7178 Å, b = 8.8818 Å, c = 8.8818 Å
α = 102.52°, β = 90.00°, γ = 90.00°
Closest atoms and distances in Å follow each position.
Fractional positions:
Se (0.2028, 0.1010, 0.5636)  1 Al 2.40
Se (0.2028, 0.4364, 0.8990)  1 Al 2.40
Se (0.7028, 0.8990, 0.4364)  1 Al 2.40
Se (0.1665, 0.7820, 0.2180)  1 Al 2.41
Se (0.6665, 0.2180, 0.7820)  1 Al 2.41
Se (0.6836, 0.6294, 0.6970)  4 Er 2.79-2.89
Se (0.1673, 0.0406, 0.9594)  1 Al 2.44
Se (0.6673, 0.9594, 0.0406)  1 Al 2.44
Se (0.1836, 0.6970, 0.6294)  4 Er 2.79-2.89
Se (0.1836, 0.3706, 0.3030)  4 Er 2.79-2.89
Se (0.7028, 0.5636, 0.1010)  1 Al 2.40
Se (0.6836, 0.3030, 0.3706)  4 Er 2.79-2.89
Er (0.9849, 0.0853, 0.2818)  7 Se 2.79-3.06
Er (0.9849, 0.7182, 0.9147)  7 Se 2.79-3.06
Er (0.3857, 0.4039, 0.5961)  6 Se 2.84-2.91
Er (0.8857, 0.5961, 0.4039)  6 Se 2.84-2.91
Er (0.4849, 0.9147, 0.7182)  7 Se 2.79-3.06
Er (0.4849, 0.2818, 0.0853)  7 Se 2.79-3.06
Al (0.0232, 0.2024, 0.7976)  4 Se 2.40-2.44
Al (0.5232, 0.7976, 0.2024)  4 Se 2.40-2.44

2.
Crystalline Er3Al5Se12 at its relaxed geometry. Source: the Alexandria database, functional PBE.

## Properties
Crystal system = cubic
Energy relative to the elements, uncorrected = -1.191 eV/atom

a = 13.6039 Å, b = 13.6039 Å, c = 13.6039 Å
α = 109.47°, β = 109.47°, γ = 109.47°
Closest atoms and distances in Å follow each position.
Fractional positions:
Se (0.7904, 0.4666, 0.3763)  2 Al 2.40-2.57
Se (0.2904, 0.8763, 0.9666)  2 Al 2.40-2.57
Se (0.8763, 0.2904, 0.4666)  2 Al 2.40-2.57
Se (0.3763, 0.9666, 0.7904)  2 Al 2.40-2.57
Se (0.1237, 0.7096, 0.5334)  2 Al 2.40-2.57
Se (0.4666, 0.6762, 0.0903)  2 Al 2.40-2.57
Se (0.8763, 0.5859, 0.9097)  2 Al 2.40-2.57
Se (0.2904, 0.4141, 0.8238)  2 Al 2.40-2.57
Se (0.9097, 0.0859, 0.8763)  2 Al 2.40-2.57
Se (0.2096, 0.5334, 0.6237)  2 Al 2.40-2.57
Se (0.7096, 0.1237, 0.0334)  2 Al 2.40-2.57
Se (0.2096, 0.6762, 0.0859)  2 Al 2.40-2.57
Se (0.8238, 0.9141, 0.2904)  2 Al 2.40-2.57
Se (0.4097, 0.3763, 0.5859)  2 Al 2.40-2.57
Se (0.0903, 0.1762, 0.4666)  2 Al 2.40-2.57
Se (0.0334, 0.4097, 0.8238)  2 Al 2.40-2.57
Se (0.3238, 0.5334, 0.4097)  2 Al 2.40-2.57
Se (0.0903, 0.9141, 0.1237)  2 Al 2.40-2.57
Se (0.4141, 0.2904, 0.3238)  2 Al 2.40-2.57
Se (0.5334, 0.2096, 0.1237)  2 Al 2.40-2.57
Se (0.4097, 0.0334, 0.3238)  2 Al 2.40-2.57
Se (0.5903, 0.6237, 0.4141)  2 Al 2.40-2.57
Se (0.1237, 0.4141, 0.0903)  2 Al 2.40-2.57
Se (0.9666, 0.5903, 0.1762)  2 Al 2.40-2.57
Se (0.4666, 0.7904, 0.8763)  2 Al 2.40-2.57
Se (0.1762, 0.0859, 0.7096)  2 Al 2.40-2.57
Se (0.7096, 0.5859, 0.1762)  2 Al 2.40-2.57
Se (0.9141, 0.8238, 0.7904)  2 Al 2.40-2.57
Se (0.9097, 0.8238, 0.5334)  2 Al 2.40-2.57
Se (0.5334, 0.3238, 0.9097)  2 Al 2.40-2.57
Se (0.6237, 0.0334, 0.2096)  2 Al 2.40-2.57
Se (0.8238, 0.9097, 0.0334)  2 Al 2.40-2.57
Se (0.5903, 0.9666, 0.6762)  2 Al 2.40-2.57
Se (0.9141, 0.0903, 0.6237)  2 Al 2.40-2.57
Se (0.6762, 0.2096, 0.5859)  2 Al 2.40-2.57
Se (0.0859, 0.1762, 0.2096)  2 Al 2.40-2.57
Se (0.0334, 0.6237, 0.7096)  2 Al 2.40-2.57
Se (0.1762, 0.0903, 0.9666)  2 Al 2.40-2.57
Se (0.3763, 0.4097, 0.0859)  2 Al 2.40-2.57
Se (0.5859, 0.8763, 0.4097)  2 Al 2.40-2.57
Se (0.6762, 0.4666, 0.5903)  2 Al 2.40-2.57
Se (0.4141, 0.1237, 0.5903)  2 Al 2.40-2.57
Se (0.7904, 0.3238, 0.9141)  2 Al 2.40-2.57
Se (0.5859, 0.7096, 0.6762)  2 Al 2.40-2.57
Se (0.3238, 0.7904, 0.4141)  2 Al 2.40-2.57
Se (0.6237, 0.5903, 0.9141)  2 Al 2.40-2.57
Se (0.9666, 0.3763, 0.2904)  2 Al 2.40-2.57
Se (0.0859, 0.9097, 0.3763)  2 Al 2.40-2.57
Er (0.6250, 0.3750, 0.7500)  8 Se 3.00-3.04
Er (0.1250, 0.8750, 0.7500)  8 Se 3.00-3.04
Er (0.7500, 0.3750, 0.1250)  8 Se 3.00-3.04
Er (0.3750, 0.6250, 0.2500)  8 Se 3.00-3.04
Er (0.6250, 0.2500, 0.3750)  8 Se 3.00-3.04
Er (0.2500, 0.6250, 0.8750)  8 Se 3.00-3.04
Er (0.3750, 0.7500, 0.6250)  8 Se 3.00-3.04
Er (0.2500, 0.1250, 0.3750)  8 Se 3.00-3.04
Er (0.1250, 0.2500, 0.8750)  8 Se 3.00-3.04
Er (0.8750, 0.7500, 0.1250)  8 Se 3.00-3.04
Er (0.8750, 0.1250, 0.2500)  8 Se 3.00-3.04
Er (0.7500, 0.8750, 0.6250)  8 Se 3.00-3.04
Al (0.0000, 0.5000, 0.0000)  6 Se 2.57
Al (0.5000, 0.0000, 0.5000)  6 Se 2.57
Al (0.6250, 0.8750, 0.2500)  4 Se 2.40
Al (0.3750, 0.2500, 0.1250)  4 Se 2.40
Al (0.0000, 0.0000, 0.0000)  6 Se 2.57
Al (0.5000, 0.5000, 0.0000)  6 Se 2.57
Al (0.8750, 0.2500, 0.6250)  4 Se 2.40
Al (0.7500, 0.6250, 0.3750)  4 Se 2.40
Al (0.6250, 0.7500, 0.8750)  4 Se 2.40
Al (0.0000, 0.5000, 0.5000)  6 Se 2.57
Al (0.2500, 0.8750, 0.1250)  4 Se 2.40
Al (0.2500, 0.3750, 0.6250)  4 Se 2.40
Al (0.5000, 0.0000, 0.0000)  6 Se 2.57
Al (0.3750, 0.1250, 0.7500)  4 Se 2.40
Al (0.1250, 0.7500, 0.3750)  4 Se 2.40
Al (0.5000, 0.5000, 0.5000)  6 Se 2.57
Al (0.7500, 0.1250, 0.8750)  4 Se 2.40
Al (0.1250, 0.3750, 0.2500)  4 Se 2.40
Al (0.0000, 0.0000, 0.5000)  6 Se 2.57
Al (0.8750, 0.6250, 0.7500)  4 Se 2.40

3.
Crystalline ErAlSe2 at its relaxed geometry. Source: the Alexandria database, functional PBE.

## Properties
Crystal system = trigonal
Energy relative to the elements, uncorrected = -0.745 eV/atom

a = 3.7383 Å, b = 3.7383 Å, c = 8.7035 Å
α = 77.60°, β = 77.60°, γ = 60.00°
Closest atoms and distances in Å follow each position.
Fractional positions:
Se (0.1110, 0.1110, 0.6669)  3 Al 2.58, 1 Er 2.81
Se (0.8890, 0.8890, 0.3331)  3 Al 2.58, 1 Er 2.81
Al (0.5000, 0.5000, 0.5000)  6 Se 2.58
Er (0.0000, 0.0000, 0.0000)  2 Se 2.81

4.
Crystalline ErAlSe3 at its relaxed geometry. Source: the Alexandria database, functional PBE.

## Properties
Crystal system = orthorhombic
Energy relative to the elements, uncorrected = -1.358 eV/atom

a = 4.0042 Å, b = 6.6241 Å, c = 12.2274 Å
α = 105.72°, β = 90.00°, γ = 90.00°
Closest atoms and distances in Å follow each position.
Fractional positions:
Er (0.2500, 0.0486, 0.6506)  6 Se 2.78-2.89
Er (0.7500, 0.3979, 0.3494)  6 Se 2.78-2.89
Al (0.2500, 0.7796, 0.2567)  4 Se 2.37-2.46
Al (0.7500, 0.5228, 0.7433)  4 Se 2.37-2.46
Se (0.7500, 0.2663, 0.5565)  1 Al 2.45
Se (0.2500, 0.7098, 0.4435)  1 Al 2.45
Se (0.2500, 0.1278, 0.2397)  1 Al 2.37
Se (0.2500, 0.4261, 0.8348)  2 Al 2.46
Se (0.7500, 0.5913, 0.1652)  2 Al 2.46
Se (0.7500, 0.8881, 0.7603)  1 Al 2.37

5.
Crystalline Er3AlSe6 at its relaxed geometry. Source: the Alexandria database, functional PBE.

## Properties
Crystal system = trigonal
Energy relative to the elements, uncorrected = -1.557 eV/atom

a = 8.1246 Å, b = 8.1246 Å, c = 8.1246 Å
α = 90.60°, β = 90.60°, γ = 90.60°
Closest atoms and distances in Å follow each position.
Fractional positions:
Se (0.4178, 0.1974, 0.5423)  1 Al 2.57, 2 Er 2.81-2.83
Se (0.5423, 0.4178, 0.1974)  1 Al 2.57, 2 Er 2.81-2.83
Se (0.2986, 0.9203, 0.0830)  1 Al 2.60, 3 Er 2.83-2.89
Se (0.1974, 0.5423, 0.4178)  1 Al 2.57, 2 Er 2.81-2.83
Se (0.4577, 0.5822, 0.8026)  1 Al 2.57, 2 Er 2.81-2.83
Se (0.7014, 0.0797, 0.9170)  1 Al 2.60, 3 Er 2.83-2.89
Se (0.0797, 0.9170, 0.7014)  1 Al 2.60, 3 Er 2.83-2.89
Se (0.0830, 0.2986, 0.9203)  1 Al 2.60, 3 Er 2.83-2.89
Se (0.9170, 0.7014, 0.0797)  1 Al 2.60, 3 Er 2.83-2.89
Se (0.5822, 0.8026, 0.4577)  1 Al 2.57, 2 Er 2.81-2.83
Se (0.8026, 0.4577, 0.5822)  1 Al 2.57, 2 Er 2.81-2.83
Se (0.9203, 0.0830, 0.2986)  1 Al 2.60, 3 Er 2.83-2.89
Er (0.4319, 0.9235, 0.7549)  6 Se 2.81-2.89
Er (0.2451, 0.5681, 0.0765)  6 Se 2.81-2.89
Er (0.7549, 0.4319, 0.9235)  6 Se 2.81-2.89
Er (0.5681, 0.0765, 0.2451)  6 Se 2.81-2.89
Er (0.0765, 0.2451, 0.5681)  6 Se 2.81-2.89
Er (0.9235, 0.7549, 0.4319)  6 Se 2.81-2.89
Al (0.0000, 0.0000, 0.0000)  6 Se 2.60
Al (0.5000, 0.5000, 0.5000)  6 Se 2.57

6.
Crystalline Er4AlSe2 at its relaxed geometry. Source: the Alexandria database, functional PBE.

## Properties
Crystal system = orthorhombic
Energy relative to the elements, uncorrected = -1.067 eV/atom

a = 3.9609 Å, b = 6.8983 Å, c = 13.6929 Å
α = 90.00°, β = 90.00°, γ = 106.68°
Closest atoms and distances in Å follow each position.
Fractional positions:
Er (0.0653, 0.1306, 0.2500)  2 Se 2.79, 2 Al 2.98
Er (0.7757, 0.5513, 0.3735)  3 Se 2.78-2.84, 2 Al 3.06
Er (0.5000, 0.0000, 0.0000)  4 Se 2.82
Er (0.2243, 0.4487, 0.8735)  3 Se 2.78-2.84, 2 Al 3.06
Er (0.7757, 0.5513, 0.1265)  3 Se 2.78-2.84, 2 Al 3.06
Er (0.5000, 0.0000, 0.5000)  4 Se 2.82
Er (0.9347, 0.8694, 0.7500)  2 Se 2.79, 2 Al 2.98
Er (0.2243, 0.4487, 0.6265)  3 Se 2.78-2.84, 2 Al 3.06
Al (0.6029, 0.2058, 0.7500)  6 Er 2.98-3.06
Al (0.3971, 0.7942, 0.2500)  6 Er 2.98-3.06
Se (0.1387, 0.2774, 0.0590)  6 Er 2.78-2.84
Se (0.8613, 0.7226, 0.9410)  6 Er 2.78-2.84
Se (0.8613, 0.7226, 0.5590)  6 Er 2.78-2.84
Se (0.1387, 0.2774, 0.4410)  6 Er 2.78-2.84

7.
Crystalline ErAlSe3 at its relaxed geometry. Source: the Alexandria database, functional PBE.

## Properties
Crystal system = monoclinic
Energy relative to the elements, uncorrected = -1.256 eV/atom

a = 4.2205 Å, b = 7.8267 Å, c = 7.8278 Å
α = 70.27°, β = 89.52°, γ = 89.52°
Closest atoms and distances in Å follow each position.
Fractional positions:
Se (0.9983, 0.9991, 0.0518)  1 Al 2.38
Se (0.4864, 0.9052, 0.7304)  1 Al 2.38
Se (0.9992, 0.5558, 0.9949)  2 Al 2.46
Se (0.4854, 0.3485, 0.7873)  2 Al 2.46
Se (0.9983, 0.6130, 0.4380)  1 Al 2.38
Se (0.4864, 0.2914, 0.3442)  1 Al 2.38
Al (0.7426, 0.6464, 0.6969)  4 Se 2.38-2.46
Al (0.7421, 0.2580, 0.0852)  4 Se 2.38-2.46
Er (0.9798, 0.1897, 0.6286)  8 Se 2.90-3.14
Er (0.5049, 0.7146, 0.1536)  8 Se 2.90-3.14

8.
Crystalline ErAl2Se4 at its relaxed geometry. Source: the Alexandria database, functional PBE.

## Properties
Crystal system = tetragonal
Energy relative to the elements, uncorrected = -0.892 eV/atom

a = 6.3638 Å, b = 6.3638 Å, c = 6.3638 Å
α = 104.60°, β = 104.60°, γ = 119.72°
Closest atoms and distances in Å follow each position.
Fractional positions:
Er (0.5000, 0.5000, 0.0000)  4 Se 2.89
Al (0.7500, 0.2500, 0.5000)  4 Se 2.43
Al (0.2500, 0.7500, 0.5000)  4 Se 2.43
Se (0.3341, 0.1676, 0.5017)  2 Al 2.43
Se (0.1676, 0.6659, 0.8334)  2 Al 2.43
Se (0.6659, 0.8324, 0.4983)  2 Al 2.43
Se (0.8324, 0.3341, 0.1666)  2 Al 2.43

9.
Crystalline Sr2ErAlSe5 at its relaxed geometry. Source: the Alexandria database, functional PBE.

## Properties
Crystal system = orthorhombic
Energy relative to the elements, uncorrected = -1.701 eV/atom

a = 4.1025 Å, b = 9.5044 Å, c = 12.9563 Å
α = 90.00°, β = 90.00°, γ = 102.46°
Closest atoms and distances in Å follow each position.
Fractional positions:
Sr (0.1245, 0.2489, 0.3255)  6 Se 3.14-3.21
Sr (0.1182, 0.2364, 0.6824)  7 Se 3.11-3.43
Sr (0.8818, 0.7636, 0.1824)  7 Se 3.11-3.43
Sr (0.8755, 0.7511, 0.8255)  6 Se 3.14-3.21
Se (0.5009, 0.0018, 0.2702)  1 Al 2.35
Se (0.4991, 0.9982, 0.7702)  1 Al 2.35
Se (0.0454, 0.0907, 0.0351)  2 Al 2.48
Se (0.6453, 0.2906, 0.5064)  1 Er 2.76
Se (0.6853, 0.3705, 0.8716)  1 Al 2.45
Se (0.3147, 0.6295, 0.3716)  1 Al 2.45
Se (0.9546, 0.9093, 0.5351)  2 Al 2.48
Se (0.2939, 0.5879, 0.6752)  2 Er 2.80
Se (0.3547, 0.7094, 0.0064)  1 Er 2.76
Se (0.7061, 0.4121, 0.1752)  2 Er 2.80
Al (0.4402, 0.8803, 0.4295)  4 Se 2.35-2.48
Al (0.5598, 0.1197, 0.9295)  4 Se 2.35-2.48
Er (0.7930, 0.5860, 0.5280)  6 Se 2.76-3.00
Er (0.2070, 0.4140, 0.0280)  6 Se 2.76-3.00

10.
Crystalline SrErAlSe4 at its relaxed geometry. Source: the Alexandria database, functional PBE.

## Properties
Crystal system = monoclinic
Energy relative to the elements, uncorrected = -1.528 eV/atom

a = 6.7836 Å, b = 7.0200 Å, c = 8.3285 Å
α = 90.00°, β = 106.87°, γ = 90.00°
Closest atoms and distances in Å follow each position.
Fractional positions:
Sr (0.2376, 0.2500, 0.0569)  6 Se 3.00-3.28
Sr (0.7624, 0.7500, 0.9431)  6 Se 3.00-3.28
Se (0.4418, 0.7500, 0.1352)  1 Al 2.36
Se (0.5582, 0.2500, 0.8648)  1 Al 2.36
Se (0.4552, 0.7500, 0.6010)  1 Al 2.34
Se (0.0048, 0.9944, 0.7271)  1 Al 2.40
Se (0.9952, 0.0056, 0.2729)  1 Al 2.40
Se (0.0048, 0.5056, 0.7271)  1 Al 2.40
Se (0.9952, 0.4944, 0.2729)  1 Al 2.40
Se (0.5448, 0.2500, 0.3990)  1 Al 2.34
Er (0.7759, 0.7500, 0.4452)  6 Se 2.84-2.96
Er (0.2241, 0.2500, 0.5548)  6 Se 2.84-2.96
Al (0.7586, 0.2500, 0.6764)  4 Se 2.34-2.40
Al (0.2414, 0.7500, 0.3236)  4 Se 2.34-2.40

11.
Crystalline Er3AlTl3Se8 at its relaxed geometry. Source: the Alexandria database, functional PBE.

## Properties
Crystal system = monoclinic
Energy relative to the elements, uncorrected = -1.184 eV/atom

a = 8.1402 Å, b = 8.1418 Å, c = 8.9926 Å
α = 116.88°, β = 90.06°, γ = 120.00°
Closest atoms and distances in Å follow each position.
Fractional positions:
Se (0.2449, 0.0259, 0.3068)  1 Al 2.64, 2 Er 2.85
Se (0.7809, 0.0258, 0.3068)  1 Al 2.63, 2 Er 2.85
Se (0.7808, 0.5618, 0.3069)  1 Al 2.64, 2 Er 2.85
Se (0.2192, 0.4382, 0.6931)  1 Al 2.64, 2 Er 2.85
Se (0.7551, 0.9741, 0.6932)  1 Al 2.64, 2 Er 2.85
Se (0.2643, 0.5288, 0.2933)  3 Er 2.83
Se (0.2191, 0.9742, 0.6932)  1 Al 2.63, 2 Er 2.85
Se (0.7357, 0.4712, 0.7067)  3 Er 2.83
Er (0.5000, 0.5000, 0.5000)  6 Se 2.83-2.85
Er (0.0000, 0.5000, 0.5000)  6 Se 2.83-2.85
Er (0.5000, 0.0000, 0.5000)  6 Se 2.83-2.85
Tl (0.0000, 0.5000, 0.0000)  6 Se 3.25-3.27
Tl (0.5000, 0.5000, 0.0000)  6 Se 3.25-3.27
Tl (0.0000, 0.0000, 0.0000)  6 Se 3.25-3.27
Al (0.0000, 0.0000, 0.5000)  6 Se 2.63-2.64

12.
Crystalline Er2Al3Si4 at its relaxed geometry. Source: the Alexandria database, functional PBE.

## Properties
Crystal system = orthorhombic
Energy relative to the elements, uncorrected = -0.355 eV/atom

a = 5.7191 Å, b = 7.7696 Å, c = 7.8300 Å
α = 90.00°, β = 111.42°, γ = 90.00°
Closest atoms and distances in Å follow each position.
Fractional positions:
Si (0.6848, 0.5495, 0.3697)  5 Al 2.55-2.77
Si (0.7963, 0.2500, 0.0927)  3 Al 2.49-2.50
Si (0.7037, 0.7500, 0.9073)  3 Al 2.49-2.50
Si (0.3152, 0.4505, 0.6303)  5 Al 2.55-2.77
Si (0.1848, 0.9505, 0.3697)  5 Al 2.55-2.77
Si (0.2963, 0.2500, 0.0927)  3 Al 2.49-2.50
Si (0.2037, 0.7500, 0.9073)  3 Al 2.49-2.50
Si (0.8152, 0.0495, 0.6303)  5 Al 2.55-2.77
Er (0.6136, 0.9188, 0.2271)  8 Si 3.03-3.11, 6 Al 3.14-3.36
Er (0.3864, 0.0812, 0.7729)  8 Si 3.03-3.11, 6 Al 3.14-3.36
Er (0.8864, 0.4188, 0.7729)  8 Si 3.03-3.11, 6 Al 3.14-3.36
Er (0.1136, 0.5812, 0.2271)  8 Si 3.03-3.11, 6 Al 3.14-3.36
Al (0.5327, 0.7500, 0.5655)  5 Si 2.49-2.77
Al (0.9673, 0.2500, 0.4345)  5 Si 2.49-2.77
Al (0.0000, 0.0000, 0.0000)  6 Si 2.50-2.72
Al (0.0327, 0.7500, 0.5655)  5 Si 2.49-2.77
Al (0.5000, 0.5000, 0.0000)  6 Si 2.50-2.72
Al (0.4673, 0.2500, 0.4345)  5 Si 2.49-2.77